## TbScMnAg (PBE)

Data for crystalline TbScMnAg at its relaxed geometry.

M_tot = 11.79 Bohr magnetons per cell

Cell and atoms, written as CIF:
```
data_TbScMnAg
_chemical_formula_sum 'Tb4 Sc4 Mn4 Ag4'
_cell_length_a 6.998
_cell_length_b 6.998
_cell_length_c 6.998
_cell_angle_alpha 90.00
_cell_angle_beta 90.00
_cell_angle_gamma 90.00
_space_group_name_H-M_alt 'F -4 3 m'
_space_group_IT_number 216
_space_group_name_Hall 'F -4 2 3'
loop_
_atom_site_label
_atom_site_type_symbol
_atom_site_fract_x
_atom_site_fract_y
_atom_site_fract_z
_atom_site_occupancy
Tb1 Tb 0.000 0.000 0.000 1
Sc1 Sc 0.000 0.000 0.500 1
Mn1 Mn 0.250 0.250 0.750 1
Ag1 Ag 0.250 0.250 0.250 1
```


## Sc2TiMnAg (PBE)

Data for crystalline Sc2TiMnAg at its relaxed geometry.

M_tot = 1.17 Bohr magnetons per cell

Cell and atoms, written as CIF:
```
data_Sc2TiMnAg
_chemical_formula_sum 'Sc2 Ti1 Mn1 Ag1'
_cell_length_a 5.092
_cell_length_b 5.092
_cell_length_c 4.857
_cell_angle_alpha 90.00
_cell_angle_beta 90.00
_cell_angle_gamma 90.00
_space_group_name_H-M_alt 'P 4/m m m'
_space_group_IT_number 123
_space_group_name_Hall '-P 4 2'
loop_
_atom_site_label
_atom_site_type_symbol
_atom_site_fract_x
_atom_site_fract_y
_atom_site_fract_z
_atom_site_occupancy
Sc1 Sc 0.000 0.500 0.000 1
Ti1 Ti 0.000 0.000 0.500 1
Mn1 Mn 0.500 0.500 0.500 1
Ag1 Ag 0.500 0.500 0.000 1
```


| no. | calculated density (g cm⁻³) | formation energy from the elements (eV/f.u.) |
| --- | --- | --- |
| 1 | 7.1 | 0.0 |
| 2 | 4.0 | 4.2 |